(1)
Entry from the Alexandria database: Ho2Al3Ag2 after structural relaxation (PBE). Values from VASP.

Results
Mass density (Mg/m³): 7.2
Total moment (μB per formula unit): 0.000
Uncorrected energy (eV per atom): -4.11
ΔE to the lowest computed polymorph (meV/atom): 0.0

```
&SYSTEM
  ibrav = 0, nat = 7, ntyp = 3
/
ATOMIC_SPECIES
Ho 164.93 Ho.upf
Al 26.98 Al.upf
Ag 107.87 Ag.upf
CELL_PARAMETERS angstrom
5.310 -2.202 0.000
5.310 2.202 0.000
-2.890 0.000 6.160
ATOMIC_POSITIONS angstrom
Ho 0.784 0.000 1.703
Ho 6.947 0.000 4.458
Al 4.051 0.000 0.418
Al 3.865 0.000 3.080
Al 3.679 0.000 5.742
Ag -0.590 0.000 4.552
Ag 8.320 0.000 1.608
```

---

(2)
Entry from the Alexandria database: CeSm2HoEr5 after structural relaxation (PBE). Values from VASP.

Results
Mass density (Mg/m³): 8.5
Total moment (μB per formula unit): 0.966
Uncorrected energy (eV per atom): -4.47

```
&SYSTEM
  ibrav = 0, nat = 18, ntyp = 4
/
ATOMIC_SPECIES
Ce 140.12 Ce.upf
Sm 150.36 Sm.upf
Ho 164.93 Ho.upf
Er 167.26 Er.upf
CELL_PARAMETERS angstrom
-4.272 4.272 7.725
4.272 -4.272 7.725
4.272 4.272 -7.725
ATOMIC_POSITIONS angstrom
Ce 4.272 0.000 3.862
Ce 0.000 4.272 3.862
Sm 5.296 1.024 0.000
Sm 1.024 3.248 0.000
Sm 3.248 1.024 7.725
Sm -1.024 3.248 7.725
Ho 0.000 0.000 3.862
Ho 0.000 0.000 11.587
Er 0.000 0.000 0.000
Er 2.530 1.742 -2.164
Er 2.530 -1.742 5.561
Er 2.530 1.742 2.164
Er 2.530 -1.742 9.889
Er 0.000 0.000 7.725
Er 1.742 6.014 -2.164
Er 1.742 2.530 5.561
Er 1.742 6.014 2.164
Er 1.742 2.530 9.889
```

---

(3)
Entry from the Alexandria database: Mg6TlIr after structural relaxation (PBE). Values from VASP.

Results
Mass density (Mg/m³): 5.3
Total moment (μB per formula unit): 0.000
Uncorrected energy (eV per atom): -2.65

```
&SYSTEM
  ibrav = 0, nat = 8, ntyp = 3
/
ATOMIC_SPECIES
Mg 24.30 Mg.upf
Tl 204.38 Tl.upf
Ir 192.22 Ir.upf
CELL_PARAMETERS angstrom
5.422 -4.896 0.000
5.422 4.896 0.000
-0.077 0.000 3.179
ATOMIC_POSITIONS angstrom
Mg 4.082 2.573 2.264
Mg 2.271 0.000 2.873
Mg 6.684 2.573 0.915
Mg 4.082 -2.573 2.264
Mg 8.496 0.000 0.306
Mg 6.684 -2.573 0.915
Tl 5.422 0.000 0.000
Ir -0.038 0.000 1.590
```

---

(4)
Entry from the Alexandria database: RbCaBH2 after structural relaxation (PBE). Values from VASP.

Results
Mass density (Mg/m³): 2.0
Total moment (μB per formula unit): 0.000
Uncorrected energy (eV per atom): -2.15

```
&SYSTEM
  ibrav = 0, nat = 5, ntyp = 4
/
ATOMIC_SPECIES
Rb 85.47 Rb.upf
Ca 40.08 Ca.upf
B 10.81 B.upf
H 1.01 H.upf
CELL_PARAMETERS angstrom
4.905 0.000 0.000
0.000 4.905 0.000
0.000 0.000 4.783
ATOMIC_POSITIONS angstrom
Rb 0.000 0.000 0.000
Ca 2.452 2.452 0.000
B 2.452 2.452 2.392
H 0.000 2.452 2.392
H 2.452 0.000 2.392
```

---

(5)
Entry from the Alexandria database: HoCdHg6 after structural relaxation (PBE). Values from VASP.

Results
Mass density (Mg/m³): 12.1
Total moment (μB per formula unit): 0.000
Uncorrected energy (eV per atom): -1.00
ΔE to the lowest computed polymorph (meV/atom): 0.0

```
&SYSTEM
  ibrav = 0, nat = 8, ntyp = 3
/
ATOMIC_SPECIES
Ho 164.93 Ho.upf
Cd 112.41 Cd.upf
Hg 200.59 Hg.upf
CELL_PARAMETERS angstrom
5.844 0.000 0.000
-0.939 6.087 0.000
-0.948 -2.102 5.724
ATOMIC_POSITIONS angstrom
Ho 0.000 0.000 0.000
Cd 1.978 1.992 2.862
Hg -0.648 0.461 3.031
Hg 0.984 2.949 0.240
Hg 2.082 -1.557 4.297
Hg 1.874 5.542 1.427
Hg 2.973 1.035 5.483
Hg 4.605 3.523 2.693
```

---

(6)
Entry from the Alexandria database: AlTcHg2 after structural relaxation (PBE). Values from VASP.

Results
Mass density (Mg/m³): 11.7
Total moment (μB per formula unit): 0.001
Uncorrected energy (eV per atom): -3.24

```
&SYSTEM
  ibrav = 0, nat = 4, ntyp = 3
/
ATOMIC_SPECIES
Al 26.98 Al.upf
Tc 98.00 Tc.upf
Hg 200.59 Hg.upf
CELL_PARAMETERS angstrom
2.857 0.000 0.000
0.000 5.198 0.000
-0.121 0.000 5.026
ATOMIC_POSITIONS angstrom
Al 0.000 0.000 0.000
Tc 1.368 0.000 2.513
Hg 0.636 2.599 1.272
Hg 2.100 2.599 3.754
```

---

(7)
Entry from the Alexandria database: ErMgTlSn after structural relaxation (PBE). Values from VASP.

Results
Mass density (Mg/m³): 8.3
Total moment (μB per formula unit): 0.000
Uncorrected energy (eV per atom): -3.36
ΔE to the lowest computed polymorph (meV/atom): 139.1

```
&SYSTEM
  ibrav = 0, nat = 4, ntyp = 4
/
ATOMIC_SPECIES
Er 167.26 Er.upf
Mg 24.30 Mg.upf
Tl 204.38 Tl.upf
Sn 118.71 Sn.upf
CELL_PARAMETERS angstrom
0.000 3.717 3.717
3.717 0.000 3.717
3.717 3.717 0.000
ATOMIC_POSITIONS angstrom
Er 0.000 0.000 0.000
Mg 3.717 3.717 3.717
Tl 5.575 5.575 5.575
Sn 1.858 1.858 1.858
```

---

(8)
Entry from the Alexandria database: CsPu2CuBr8 after structural relaxation (PBE). Values from VASP.

Results
Mass density (Mg/m³): 4.1
Total moment (μB per formula unit): 10.000
Uncorrected energy (eV per atom): -5.24

```
&SYSTEM
  ibrav = 0, nat = 12, ntyp = 4
/
ATOMIC_SPECIES
Cs 132.91 Cs.upf
Pu 244.00 Pu.upf
Cu 63.55 Cu.upf
Br 79.90 Br.upf
CELL_PARAMETERS angstrom
7.894 0.000 0.000
1.269 8.590 0.000
3.902 1.852 7.988
ATOMIC_POSITIONS angstrom
Cs 0.000 0.000 0.000
Pu 2.373 3.090 3.715
Pu 10.692 7.353 4.273
Cu 0.634 4.295 0.000
Br 5.186 7.164 6.079
Br 3.385 5.380 2.228
Br 4.091 9.121 2.340
Br 4.897 2.801 4.747
Br 8.167 7.641 3.242
Br 8.973 1.321 5.648
Br 9.680 5.062 5.760
Br 7.879 3.278 1.909
```

---

(9)
Entry from the Alexandria database: TbP2Pt7Au2 after structural relaxation (PBE). Values from VASP.

Results
Mass density (Mg/m³): 14.9
Total moment (μB per formula unit): 0.000
Uncorrected energy (eV per atom): -5.83

```
&SYSTEM
  ibrav = 0, nat = 12, ntyp = 4
/
ATOMIC_SPECIES
Tb 158.93 Tb.upf
P 30.97 P.upf
Pt 195.08 Pt.upf
Au 196.97 Au.upf
CELL_PARAMETERS angstrom
2.801 -2.802 0.000
2.801 2.802 0.000
-2.776 0.000 14.028
ATOMIC_POSITIONS angstrom
Tb 0.000 0.000 0.000
P 0.024 0.000 10.498
P 2.802 0.000 3.531
Pt 1.400 1.400 2.226
Pt 0.023 0.000 8.302
Pt 1.427 1.400 11.802
Pt 2.801 0.000 0.000
Pt 1.400 -1.400 2.226
Pt 2.804 0.000 5.727
Pt 1.427 -1.400 11.802
Au 0.002 0.000 5.625
Au 2.825 0.000 8.403
```

---

(10)
Entry from the Alexandria database: Rb2SeI4 after structural relaxation (PBE). Values from VASP.

Results
Mass density (Mg/m³): 3.8
Total moment (μB per formula unit): 0.000
Uncorrected energy (eV per atom): -2.45
ΔE to the lowest computed polymorph (meV/atom): 67.7

```
&SYSTEM
  ibrav = 0, nat = 7, ntyp = 3
/
ATOMIC_SPECIES
Rb 85.47 Rb.upf
Se 78.96 Se.upf
I 126.90 I.upf
CELL_PARAMETERS angstrom
-3.074 3.074 8.845
3.074 -3.074 8.845
3.074 3.074 -8.845
ATOMIC_POSITIONS angstrom
Rb 0.000 0.000 2.276
Rb 0.000 0.000 15.414
Se 0.000 0.000 8.845
I 3.074 0.000 0.000
I 0.000 0.000 6.023
I 0.000 3.074 0.000
I 0.000 0.000 11.668
```

---

(11)
Entry from the Alexandria database: Tb3SmTh after structural relaxation (PBE). Values from VASP.

Results
Mass density (Mg/m³): 8.6
Total moment (μB per formula unit): 0.000
Uncorrected energy (eV per atom): -5.02
ΔE to the lowest computed polymorph (meV/atom): 0.0

```
&SYSTEM
  ibrav = 0, nat = 10, ntyp = 3
/
ATOMIC_SPECIES
Tb 158.93 Tb.upf
Sm 150.36 Sm.upf
Th 232.04 Th.upf
CELL_PARAMETERS angstrom
2.674 -5.646 0.000
2.674 5.646 0.000
-0.013 0.000 11.027
ATOMIC_POSITIONS angstrom
Tb 5.344 0.000 1.908
Tb -0.009 0.000 9.119
Tb 2.668 1.713 3.371
Tb 2.668 1.713 7.656
Tb 2.668 -1.713 3.371
Tb 2.668 -1.713 7.656
Sm 2.674 1.735 0.000
Sm 2.674 -1.735 0.000
Th 2.668 4.117 5.514
Th 2.668 -4.117 5.514
```

---

(12)
Entry from the Alexandria database: PdAuI2N after structural relaxation (PBE). Values from VASP.

Results
Mass density (Mg/m³): 7.2
Total moment (μB per formula unit): 0.009
Uncorrected energy (eV per atom): -2.90
ΔE to the lowest computed polymorph (meV/atom): 280.3

```
&SYSTEM
  ibrav = 0, nat = 5, ntyp = 4
/
ATOMIC_SPECIES
Pd 106.42 Pd.upf
Au 196.97 Au.upf
I 126.90 I.upf
N 14.01 N.upf
CELL_PARAMETERS angstrom
5.906 0.000 0.000
0.000 5.906 0.000
0.000 0.000 3.764
ATOMIC_POSITIONS angstrom
Pd 0.000 0.000 0.000
Au 2.953 2.953 1.882
I 0.000 2.953 1.882
I 2.953 0.000 1.882
N 2.953 2.953 0.000
```